No. 1
A relaxed structure of Si2BiBr. Source: Alexandria via LeMat-Bulk, functional PBE.

Its formation energy (no corrections) is 0.586 eV/atom. Its offset from the most stable computed form is 0.000 eV/f.u. Its volume is 92 Å³/cell.

abc: 5.0687 5.0687 5.0687
angles: 60.00 60.00 60.00
Sites, in units of the cell vectors:
1 Si 0.2500 0.2500 0.2500
2 Si 0.7500 0.7500 0.7500
3 Bi 0.5000 0.5000 0.5000
4 Br 0.0000 0.0000 0.0000

No. 2
A relaxed structure of MgZnPb2. Source: Alexandria via LeMat-Bulk, functional PBE.

As for the energy relative to the elements: 0.060 eV/atom. Its offset from the most stable computed form is 0.199 eV/f.u. Its volume is 101 Å³/cell.

abc: 5.5057 5.5057 3.4803
angles: 85.64 85.64 104.58
Sites, in units of the cell vectors:
1 Mg 0.0000 0.5000 0.5000
2 Pb 0.0000 0.0000 0.0000
3 Pb 0.5000 0.5000 0.0000
4 Zn 0.5000 0.0000 0.5000

No. 3
A relaxed structure of Ce5Sn. Source: Alexandria via LeMat-Bulk, functional PBE.

As for the energy relative to the elements: -0.141 eV/atom. Its offset from the most stable computed form is 0.434 eV/f.u. Its volume is 161 Å³/cell.

abc: 5.6084 5.7656 5.7646
angles: 120.01 90.00 90.00
Sites, in units of the cell vectors:
1 Ce 0.5000 0.6783 0.3565
2 Ce 0.0000 0.8593 0.7186
3 Ce 0.5000 0.0000 0.0000
4 Ce 0.0000 0.1407 0.2814
5 Ce 0.5000 0.3217 0.6435
6 Sn 0.0000 0.5000 0.0000

No. 4
A relaxed structure of Ce2Tm3UAs6. Source: Alexandria via LeMat-Bulk, functional PBE.

As for the energy relative to the elements: -1.341 eV/atom. Its volume is 296 Å³/cell.

abc: 4.1115 8.2504 9.2097
angles: 103.01 102.90 90.00
Sites, in units of the cell vectors:
1 Ce 0.8343 0.6678 0.6687
2 Ce 0.1657 0.3322 0.3313
3 Tm 0.5000 0.5000 0.0000
4 Tm 0.8320 0.1672 0.6640
5 Tm 0.1680 0.8328 0.3360
6 U 0.5000 0.0000 0.0000
7 As 0.3338 0.9238 0.6676
8 As 0.6650 0.5879 0.3301
9 As 0.6662 0.0762 0.3324
10 As 0.9971 0.2488 0.9942
11 As 0.0029 0.7512 0.0058
12 As 0.3350 0.4121 0.6699

No. 5
A relaxed structure of LaTeOs. Source: Alexandria via LeMat-Bulk, functional PBE.

Its formation energy (no corrections) is -0.351 eV/atom. Its volume is 74 Å³/cell.

abc: 4.5614 4.5614 4.1169
angles: 90.00 90.00 120.00
Sites, in units of the cell vectors:
1 La 0.0000 0.0000 0.0001
2 Os 0.3333 0.6667 0.4997
3 Te 0.6667 0.3333 0.5002

No. 6
A relaxed structure of Tb7PmTm2. Source: Alexandria via LeMat-Bulk, functional PBE.

As for the energy relative to the elements: 0.689 eV/atom. Its offset from the most stable computed form is 6.744 eV/f.u. Its volume is 395 Å³/cell.

abc: 5.6403 9.1081 9.1082
angles: 122.46 90.00 90.00
Sites, in units of the cell vectors:
1 Tb 0.0000 0.7799 0.2201
2 Tb 0.0000 0.2201 0.7799
3 Tb 0.5000 0.0617 0.2932
4 Tb 0.5000 0.9383 0.7068
5 Tb 0.5000 0.2932 0.0617
6 Tb 0.5000 0.7068 0.9383
7 Tb 0.5000 0.5000 0.5000
8 Pm 0.0000 0.0000 0.0000
9 Tm 0.5000 0.7039 0.2961
10 Tm 0.5000 0.2961 0.7039

No. 7
A relaxed structure of Tb5PmIn3. Source: Alexandria via LeMat-Bulk, functional PBE.

As for the energy relative to the elements: -0.352 eV/atom. Its volume is 520 Å³/cell.

abc: 6.7682 9.4206 9.4198
angles: 120.00 90.00 90.00
Sites, in units of the cell vectors:
1 Tb 0.0000 0.6667 0.3334
2 Tb 0.5000 0.3333 0.6666
3 Tb 0.0000 0.3333 0.6666
4 Tb 0.5000 0.6667 0.3334
5 Tb 0.7500 0.6689 0.6690
6 Tb 0.7500 0.0000 0.3310
7 Tb 0.7500 0.3311 0.0000
8 Tb 0.2500 0.3311 0.3310
9 Tb 0.2500 0.0000 0.6690
10 Tb 0.2500 0.6689 0.0000
11 Pm 0.0000 0.0000 0.0000
12 Pm 0.5000 0.0000 0.0000
13 In 0.7500 0.3379 0.3379
14 In 0.7500 0.0000 0.6621
15 In 0.7500 0.6620 0.0000
16 In 0.2500 0.6621 0.6621
17 In 0.2500 0.0000 0.3379
18 In 0.2500 0.3380 0.0000

Asked for calculated total energy across the records above, the calculation gives -3.51, -2.51, -5.75, -6.71, -6.78, -3.92, -4.37 eV/atom in order.